# 1
A crystal of Tc2AgRh relaxed with PBEsol. Source: Alexandria via LeMat-Bulk, functional meta-GGA SCAN.

Calculated values
The energy relative to the lowest polymorph listed for this composition is 0.0 kJ/mol of formula units. The calculation puts the total magnetization at 0.0 μB/cell. The value obtained for the formation energy is 0.184 eV per atom. The electronic total energy is -134.52 eV for the cell shown. For the density of states at the Fermi level, the calculation gives 3.629 states/eV/cell.

abc: 2.7256 2.7256 7.7823
angles: 90.00 90.00 90.00
Atoms (fractional coordinates):
Tc1 0.0000 0.0000 0.0003
Tc2 0.5000 0.5000 0.2302
Rh1 0.5000 0.5000 0.7671
Ag1 0.0000 0.0000 0.5024



# 2
A crystal of Tc2AgRh relaxed with PBEsol. Source: Alexandria via LeMat-Bulk, functional meta-GGA SCAN.

Calculated values
The energy relative to the lowest polymorph listed for this composition is 67.0 kJ/mol of formula units. The calculation puts the total magnetization at 0.0 μB/cell. The value obtained for the formation energy is 0.358 eV per atom. The electronic total energy is -133.83 eV for the cell shown. For the density of states at the Fermi level, the calculation gives 3.722 states/eV/cell.

abc: 3.8784 3.8784 4.6843
angles: 114.46 114.46 90.00
Atoms (fractional coordinates):
Tc1 0.0000 0.0000 0.0000
Tc2 0.7500 0.2500 0.5000
Rh1 0.2500 0.7500 0.5000
Ag1 0.5000 0.5000 0.0000



# 3
A crystal of Tc2AgRh relaxed with PBEsol. Source: Alexandria via LeMat-Bulk, functional meta-GGA SCAN.

Calculated values
The energy relative to the lowest polymorph listed for this composition is 55.0 kJ/mol of formula units. The calculation puts the total magnetization at 0.0 μB/cell. The value obtained for the formation energy is 0.327 eV per atom. The electronic total energy is -133.95 eV for the cell shown. For the density of states at the Fermi level, the calculation gives 3.950 states/eV/cell.

abc: 2.7082 4.6658 4.8017
angles: 99.74 106.38 90.00
Atoms (fractional coordinates):
Tc1 0.7572 0.7638 0.5143
Tc2 0.2428 0.2362 0.4857
Rh1 0.5000 0.0000 0.0000
Ag1 0.0000 0.5000 0.0000



| no. | density (Mg/m³) |
| --- | --- |
| 1 | 11.68 |
| 2 | 11.82 |
| 3 | 11.79 |